Entry 1:
# Mn2CrIn

A geometry-optimized Mn2CrIn structure (PBEsol, the Alexandria database).

Output
The total moment is 2.48 Bohr magnetons per cell. Its formation energy is 381.6 meV/atom.

Unit cell a=4.4739 b=4.4739 c=2.8822 alpha=90.00 beta=90.00 gamma=103.18
Closest atoms and distances in Å follow each position.
Element x y z (fractional)
1 Mn 0.0000 0.5000 0.0000  4 Cr 2.66, 4 In 2.66, 4 Mn 2.78-2.88
2 Mn 0.5000 0.0000 0.0000  4 Cr 2.66, 4 In 2.66, 4 Mn 2.78-2.88
3 Cr 0.0000 0.0000 0.5000  8 Mn 2.66, 2 In 2.78, 2 Cr 2.88
4 In 0.5000 0.5000 0.5000  8 Mn 2.66, 2 Cr 2.78, 2 In 2.88

Entry 2:
# MnCr2In

A geometry-optimized MnCr2In structure (PBEsol, the Alexandria database).

Output
The total moment is 1.98 Bohr magnetons per cell. Its formation energy is 396.1 meV/atom.

Unit cell a=4.2627 b=4.2627 c=4.2627 alpha=60.00 beta=60.00 gamma=60.00
Closest atoms and distances in Å follow each position.
Element x y z (fractional)
1 Mn 0.0000 0.0000 0.0000  4 Cr 2.61, 4 In 2.61
2 Cr 0.5000 0.5000 0.5000  4 Cr 2.61, 4 In 2.61
3 Cr 0.7500 0.7500 0.7500  4 Cr 2.61, 4 Mn 2.61
4 In 0.2500 0.2500 0.2500  4 Cr 2.61, 4 Mn 2.61

Entry 3:
# MnCr2In

A geometry-optimized MnCr2In structure (PBEsol, the Alexandria database).

Output
The total moment is 2.03 Bohr magnetons per cell. Its formation energy is 327.6 meV/atom.

Unit cell a=2.9208 b=2.9208 c=6.4982 alpha=90.00 beta=90.00 gamma=90.00
Closest atoms and distances in Å follow each position.
Element x y z (fractional)
1 Mn 0.0000 0.0000 0.0000  8 Cr 2.46
2 Cr 0.5000 0.5000 0.2054  4 Mn 2.46, 1 Cr 2.67
3 Cr 0.5000 0.5000 0.7946  4 Mn 2.46, 1 Cr 2.67
4 In 0.0000 0.0000 0.5000  8 Cr 2.82, 4 In 2.92

Entry 4:
# CrInMo2

A geometry-optimized CrInMo2 structure (PBEsol, the Alexandria database).

Output
The total moment is 0.00 Bohr magnetons per cell. Its formation energy is 325.4 meV/atom.

Unit cell a=2.7633 b=2.7633 c=8.7168 alpha=90.00 beta=90.00 gamma=110.46
Closest atoms and distances in Å follow each position.
Element x y z (fractional)
1 Cr 0.0000 0.0000 0.0000  2 Mo 2.48, 2 In 2.74, 4 Cr 2.76
2 In 0.5000 0.5000 0.7424  2 Cr 2.74, 4 In 2.76, 2 Mo 2.88
3 Mo 0.0000 0.0000 0.4655  6 Mo 2.66-2.76, 2 In 2.88
4 Mo 0.5000 0.5000 0.2196  2 Cr 2.48, 6 Mo 2.66-2.76

Entry 5:
# Cr2InMo

A geometry-optimized Cr2InMo structure (PBEsol, the Alexandria database).

Output
The total moment is 0.03 Bohr magnetons per cell. Its formation energy is 426.2 meV/atom.

Unit cell a=4.9517 b=4.9517 c=4.9517 alpha=142.59 beta=127.21 gamma=66.48
Closest atoms and distances in Å follow each position.
Element x y z (fractional)
1 Cr 0.2327 0.2327 0.0000  2 Mo 2.50, 2 In 2.72, 4 Cr 2.73
2 Cr 0.7673 0.7673 0.0000  2 Mo 2.50, 2 In 2.72, 4 Cr 2.73
3 In 0.5000 0.0000 0.5000  4 Mo 2.71, 8 Cr 2.72-2.93
4 Mo 0.0000 0.5000 0.5000  4 Cr 2.50, 4 In 2.71

Entry 6:
# Cr3InMo

A geometry-optimized Cr3InMo structure (PBEsol, the Alexandria database).

Output
The total moment is 7.68 Bohr magnetons per cell. Its formation energy is 2291.7 meV/atom.

Unit cell a=4.8311 b=4.8311 c=4.8311 alpha=90.00 beta=90.00 gamma=90.00
Closest atoms and distances in Å follow each position.
Element x y z (fractional)
1 Cr 0.0000 0.0000 0.5000  2 In 2.42
2 Cr 0.0000 0.5000 0.0000  2 In 2.42
3 Cr 0.5000 0.0000 0.0000  2 In 2.42
4 In 0.0000 0.0000 0.0000  6 Cr 2.42
5 Mo 0.5000 0.5000 0.5000  12 Cr 3.42

Entry 7:
# CrInMo2

A geometry-optimized CrInMo2 structure (PBEsol, the Alexandria database).

Output
The total moment is 0.80 Bohr magnetons per cell. Its formation energy is 264.0 meV/atom.

Unit cell a=5.1948 b=5.1948 c=5.1948 alpha=144.77 beta=130.01 gamma=62.63
Closest atoms and distances in Å follow each position.
Element x y z (fractional)
1 Cr 0.0000 0.0000 0.0000  4 Mo 2.59, 4 In 2.70
2 In 0.5000 0.5000 0.0000  4 Cr 2.70, 8 Mo 2.85-3.01
3 Mo 0.2316 0.7316 0.5000  2 Cr 2.59, 4 Mo 2.72, 2 In 2.85
4 Mo 0.7684 0.2684 0.5000  2 Cr 2.59, 4 Mo 2.72, 2 In 2.85

Entry 8:
# CrInMo2

A geometry-optimized CrInMo2 structure (PBEsol, the Alexandria database).

Output
The total moment is 0.86 Bohr magnetons per cell. Its formation energy is 449.0 meV/atom.

Unit cell a=5.2021 b=5.2021 c=2.7173 alpha=98.98 beta=98.98 gamma=117.92
Closest atoms and distances in Å follow each position.
Element x y z (fractional)
1 Cr 0.0000 0.0000 0.0000  2 In 2.68, 2 Cr 2.72, 4 Mo 2.74
2 In 0.5000 0.5000 0.0000  2 Cr 2.68, 2 In 2.72, 4 Mo 2.74
3 Mo 0.0000 0.5000 0.5000  4 Mo 2.68-2.72, 2 Cr 2.74, 2 In 2.74
4 Mo 0.5000 0.0000 0.5000  4 Mo 2.68-2.72, 2 Cr 2.74, 2 In 2.74

Entry 9:
# CrInMo2

A geometry-optimized CrInMo2 structure (PBEsol, the Alexandria database).

Output
The total moment is 0.00 Bohr magnetons per cell. Its formation energy is 420.1 meV/atom.

Unit cell a=8.7011 b=8.7011 c=8.7011 alpha=19.32 beta=19.32 gamma=19.32
Closest atoms and distances in Å follow each position.
Element x y z (fractional)
1 Cr 0.0000 0.0000 0.0000  6 Mo 2.49
2 In 0.5000 0.5000 0.5000  6 In 2.92, 6 Mo 2.96
3 Mo 0.2619 0.2619 0.2619  3 Cr 2.49
4 Mo 0.7381 0.7381 0.7381  3 Cr 2.49

Entry 10:
# CrInMo2

A geometry-optimized CrInMo2 structure (PBEsol, the Alexandria database).

Output
The total moment is 0.00 Bohr magnetons per cell. Its formation energy is 311.4 meV/atom.

Unit cell a=3.1993 b=3.1993 c=6.1170 alpha=90.00 beta=90.00 gamma=90.00
Closest atoms and distances in Å follow each position.
Element x y z (fractional)
1 Cr 0.0000 0.0000 0.0000  8 Mo 2.58
2 In 0.0000 0.0000 0.5000  8 Mo 2.90, 2 Cr 3.06, 4 In 3.20
3 Mo 0.5000 0.5000 0.2036  1 Mo 2.49, 4 Cr 2.58
4 Mo 0.5000 0.5000 0.7964  1 Mo 2.49, 4 Cr 2.58

Entry 11:
# CrIn2SiN

A geometry-optimized CrIn2SiN structure (PBEsol, the Alexandria database).

Output
The total moment is 5.51 Bohr magnetons per cell.

Unit cell a=5.0973 b=5.0973 c=4.5679 alpha=90.00 beta=90.00 gamma=90.00
Closest atoms and distances in Å follow each position.
Element x y z (fractional)
1 Cr 0.0000 0.0000 0.0000  2 Si 2.28
2 In 0.0000 0.5000 0.5000  2 Si 2.55
3 In 0.5000 0.0000 0.5000  2 Si 2.55
4 Si 0.0000 0.0000 0.5000  2 Cr 2.28, 4 In 2.55
5 N 0.5000 0.5000 0.0000  8 In 3.42, 4 Cr 3.60

Entry 12:
# TlCrIn2N

A geometry-optimized TlCrIn2N structure (PBEsol, the Alexandria database).

Output
The total moment is 3.02 Bohr magnetons per cell.

Unit cell a=5.2829 b=5.2829 c=3.6664 alpha=90.00 beta=90.00 gamma=90.00
Closest atoms and distances in Å follow each position.
Element x y z (fractional)
1 Tl 0.0000 0.0000 0.0000  8 In 3.22
2 Cr 0.5000 0.5000 0.0000  2 N 1.83
3 In 0.0000 0.5000 0.5000  2 N 2.64
4 In 0.5000 0.0000 0.5000  2 N 2.64
5 N 0.5000 0.5000 0.5000  2 Cr 1.83

Entry 13:
# Na3CrIn

A geometry-optimized Na3CrIn structure (PBEsol, the Alexandria database).

Output
The total moment is 5.16 Bohr magnetons per cell. Its formation energy is 854.8 meV/atom.

Unit cell a=5.6008 b=5.6008 c=5.6008 alpha=90.00 beta=90.00 gamma=90.00
Closest atoms and distances in Å follow each position.
Element x y z (fractional)
1 Na 0.0000 0.0000 0.5000  2 Cr 2.80
2 Na 0.0000 0.5000 0.0000  2 Cr 2.80
3 Na 0.5000 0.0000 0.0000  2 Cr 2.80
4 Cr 0.0000 0.0000 0.0000  6 Na 2.80
5 In 0.5000 0.5000 0.5000  12 Na 3.96

Entry 14:
# CrIn2Ni

A geometry-optimized CrIn2Ni structure (PBEsol, the Alexandria database).

Output
The total moment is 3.31 Bohr magnetons per cell. Its formation energy is 233.8 meV/atom. The calculation puts the distance to the lowest polymorph of the same formula at 0.062 eV/atom.

Unit cell a=5.4737 b=5.4737 c=5.4737 alpha=146.62 beta=132.50 gamma=59.30
Closest atoms and distances in Å follow each position.
Element x y z (fractional)
1 Cr 0.0000 0.0000 0.0000  2 Ni 2.52, 4 In 2.76
2 In 0.2729 0.7729 0.5000  4 Ni 2.71, 2 In 3.02, 2 Cr 3.04
3 In 0.5566 0.5566 0.0000  2 Ni 2.74, 4 Cr 2.76, 2 In 3.02
4 Ni 0.7926 0.2926 0.5000  2 Cr 2.52, 6 In 2.71-2.74

no.,volume (Å³/f.u.),VASP energy (eV per atom),Fermi-level density of states (states/eV/atom)
1,56.2,-7.8052,0.8604
2,54.8,-7.9109,0.9492
3,55.4,-7.9794,0.8427
4,62.4,-8.8647,0.7848
5,57.9,-8.3825,1.0520
6,112.8,-6.8037,0.8093
7,61.3,-8.9261,0.8179
8,61.9,-8.7411,0.9550
9,63.1,-8.7701,0.8513
10,62.6,-8.8788,0.5246
11,118.7,-4.5041,0.5715
12,102.3,-5.2099,0.6287
13,175.7,-2.6301,0.4778
14,65.9,-5.3575,0.5666